No. 1
Here is crystalline PmNb2 at its relaxed geometry from Alexandria via LeMat-Bulk. Energies are from PBE.

a b c (Å): 5.767 5.767 5.767
angles (deg): 60.00 60.00 60.00
Fractional coordinates of all 6 atoms:
Nb 0.125 0.625 0.625
Nb 0.625 0.125 0.625
Nb 0.625 0.625 0.625
Nb 0.625 0.625 0.125
Pm 0.000 0.000 0.000
Pm 0.250 0.250 0.250

## Properties
* ΔE_f: 0.2376 eV per atom



No. 2
Here is crystalline Pm4Nb at its relaxed geometry from Alexandria via LeMat-Bulk. Energies are from PBE.

a b c (Å): 5.610 5.610 5.610
angles (deg): 90.00 90.00 90.00
Fractional coordinates of all 5 atoms:
Nb 0.500 0.500 0.500
Pm 0.000 0.000 0.000
Pm 0.500 0.000 0.500
Pm 0.000 0.500 0.500
Pm 0.500 0.500 0.000

## Properties
* ΔE_f: 0.4795 eV per atom



No. 3
Here is crystalline PmNb4 at its relaxed geometry from Alexandria via LeMat-Bulk. Energies are from PBE.

a b c (Å): 4.913 4.913 4.913
angles (deg): 90.00 90.00 90.00
Fractional coordinates of all 5 atoms:
Nb 0.000 0.000 0.000
Nb 0.500 0.000 0.500
Nb 0.000 0.500 0.500
Nb 0.500 0.500 0.000
Pm 0.500 0.500 0.500

## Properties
* ΔE_f: 2.1186 eV per atom



No. 4
Here is crystalline Pm2PrNb at its relaxed geometry from Alexandria via LeMat-Bulk. Energies are from PBE.

a b c (Å): 3.364 3.364 12.201
angles (deg): 82.08 82.08 60.00
Fractional coordinates of all 4 atoms:
Pr 0.500 0.500 0.500
Nb 0.000 0.000 0.000
Pm 0.080 0.080 0.759
Pm 0.920 0.920 0.241

## Properties
* ΔE_f: 0.6006 eV per atom



No. 5
Here is crystalline Pm2NbSi3Pt4 at its relaxed geometry from Alexandria via LeMat-Bulk. Energies are from PBE.

a b c (Å): 4.253 4.253 10.310
angles (deg): 90.00 90.00 90.00
Fractional coordinates of all 10 atoms:
Pm 0.500 0.000 0.242
Pm 0.000 0.500 0.758
Nb 0.500 0.500 0.500
Si 0.000 0.000 0.500
Si 0.500 0.000 0.872
Si 0.000 0.500 0.128
Pt 0.500 0.500 0.000
Pt 0.000 0.000 0.000
Pt 0.500 0.000 0.640
Pt 0.000 0.500 0.360

## Properties
* ΔE_f (raw): -10.0 eV/f.u.



No. 6
Here is crystalline PmPuNb at its relaxed geometry from Alexandria via LeMat-Bulk. Energies are from PBE.

a b c (Å): 3.335 3.335 14.212
angles (deg): 96.74 96.74 90.00
Last column: magnetic moment on the atom in μB.
Fractional coordinates of all 6 atoms:
Nb 0.279 0.279 0.557  -0.13
Nb 0.721 0.721 0.443  -0.13
Pu 0.153 0.153 0.306  5.14
Pu 0.847 0.847 0.694  5.14
Pm 0.563 0.563 0.126  -0.03
Pm 0.437 0.437 0.874  -0.03

## Properties
* ΔE_f: 0.2612 eV per atom